CoTePt2: optimized geometry, PBE-GGA.

Results
Spin magnetization (Bohr magnetons per cell): 1.7
DFT total energy (eV per formula unit): -21.7
Theoretical density (g/cm³): 14.39
Symmetry: Pmm2, No. 25

a b c (Å): 3.363 3.494 5.664
angles (deg): 90.00 90.00 90.00
Each line ends with the local moment (μB).
Element x y z (fractional)
Co  0.500  0.500  0.776  1.58
Te  0.000  0.000  0.505  -0.03
Pt  0.000  0.000  0.978  0.16
Pt  0.500  0.500  0.241  0.04